VASP calculation (PBE) on a relaxed Tb8Pm4Pr3 crystal.

Computed properties:
The value obtained for the energy of formation from the pure elements is 355 meV/atom. As for the density of states at the Fermi level: 29.51 states/eV/cell.

Unit cell a=9.370 b=9.370 c=6.846 alpha=111.41 beta=111.41 gamma=87.27
Atoms (fractional coordinates):
Tb1 0.141 0.859 0.000
Tb2 0.232 0.232 0.996
Tb3 0.234 0.234 0.475
Tb4 0.244 0.756 0.500
Tb5 0.756 0.244 0.500
Tb6 0.766 0.766 0.525
Tb7 0.768 0.768 0.004
Tb8 0.859 0.141 0.000
Pm1 0.000 0.500 0.500
Pm2 0.500 0.000 0.500
Pm3 0.500 0.500 0.000
Pm4 0.500 0.500 0.500
Pr1 0.000 0.000 0.500
Pr2 0.000 0.500 0.000
Pr3 0.500 0.000 0.000